# AlCu2P | the Alexandria database | PBE-GGA | relaxed
data_AlCu2P
_chemical_formula_sum 'Al1 Cu2 P1'
_space_group_name_H-M_alt 'P m m m'
_space_group_IT_number 47
_cell_length_a 2.6824
_cell_length_b 2.8023
_cell_length_c 7.2247
_cell_angle_alpha 90.00
_cell_angle_beta 90.00
_cell_angle_gamma 90.00
loop_
_space_group_symop_operation_xyz
'x,y,z'
'-x,-y,-z'
'-x,-y,z'
'x,y,-z'
'x,-y,-z'
'-x,y,z'
'-x,y,-z'
'x,-y,z'
loop_
_atom_site_label
_atom_site_fract_x
_atom_site_fract_y
_atom_site_fract_z
_atom_site_occupancy
Al1 0.0000 0.0000 0.0000 1
Cu1 0.5000 0.5000 0.2483 1
P1 0.0000 0.0000 0.5000 1
# Total magnetic moment = 0.000 μB/atom
# Formation energy from the elements = 0.09 eV per atom

=====

# CdAg4I6 | the Alexandria database | PBE-GGA | relaxed
data_CdAg4I6
_chemical_formula_sum 'Cd4 Ag16 I24'
_space_group_name_H-M_alt 'C 1 c 1'
_space_group_IT_number 9
_cell_length_a 14.4465
_cell_length_b 8.5469
_cell_length_c 14.3737
_cell_angle_alpha 90.00
_cell_angle_beta 107.13
_cell_angle_gamma 90.00
loop_
_space_group_symop_operation_xyz
'x,y,z'
'x,-y,z+1/2'
'x+1/2,y+1/2,z'
'x+1/2,-y+1/2,z+1/2'
loop_
_atom_site_label
_atom_site_fract_x
_atom_site_fract_y
_atom_site_fract_z
_atom_site_occupancy
Cd1 0.0000 0.2395 0.0000 1
Ag1 0.0679 0.2712 0.5965 1
Ag2 0.2627 0.1024 0.2378 1
Ag3 0.2665 0.4034 0.9382 1
Ag4 0.4129 0.4337 0.7417 1
I1 0.0543 0.0424 0.4381 1
I2 0.0687 0.2452 0.2012 1
I3 0.0755 0.4933 0.4422 1
I4 0.2491 0.2396 0.7524 1
I5 0.3001 0.2537 0.4272 1
I6 0.3761 0.2797 0.1289 1
# Total magnetic moment = 0.000 μB/atom
# Uncorrected formation energy = -0.287 eV/atom

=====

# GdYRuRh | the Alexandria database | PBE-GGA | relaxed
data_GdYRuRh
_chemical_formula_sum 'Gd4 Y4 Ru4 Rh4'
_space_group_name_H-M_alt 'F -4 3 m'
_space_group_IT_number 216
_space_group_name_Hall 'F -4 2 3'
_cell_length_a 6.8693
_cell_length_b 6.8693
_cell_length_c 6.8693
_cell_angle_alpha 90.00
_cell_angle_beta 90.00
_cell_angle_gamma 90.00
loop_
_atom_site_label
_atom_site_fract_x
_atom_site_fract_y
_atom_site_fract_z
_atom_site_occupancy
Gd1 0.0000 0.0000 0.0000 1
Y1 0.0000 0.0000 0.5000 1
Ru1 0.2500 0.2500 0.2500 1
Rh1 0.2500 0.2500 0.7500 1
# Total magnetic moment = 1.775 μB/atom
# Formation energy from the elements = -0.56 eV per atom